This record from the Alexandria database describes K2Cd2Sn after structural relaxation. The functional is PBE.

Geometry as CIF:
```
data_K2Cd2Sn
_symmetry_space_group_name_H-M 'C 1 2/c 1'
_symmetry_Int_Tables_number 15
_symmetry_space_group_name_Hall '-C 2yc'
_cell_length_a 11.250
_cell_length_b 6.774
_cell_length_c 9.220
_cell_angle_alpha 90.00
_cell_angle_beta 102.38
_cell_angle_gamma 90.00
loop_
_atom_site_label
_atom_site_type_symbol
_atom_site_fract_x
_atom_site_fract_y
_atom_site_fract_z
K1 K 0.149 0.125 0.152
Cd1 Cd 0.134 0.372 0.497
Sn1 Sn 0.000 0.367 0.750
```

Computed properties:
E ... -1.77 eV per atom
Energy above the lowest structure with this stoichiometry ... 0.0040 eV/atom
N(E_F) ... 0.169 states/eV/atom
Crystal system ... monoclinic
Energy relative to the elements ... -166 meV/atom

=====

This record from the Alexandria database describes KCd2Sn after structural relaxation. The functional is PBE.

Geometry as CIF:
```
data_KCd2Sn
_symmetry_space_group_name_H-M 'I -4 2 d'
_symmetry_Int_Tables_number 122
_symmetry_space_group_name_Hall 'I -4 2bw'
_cell_length_a 5.788
_cell_length_b 5.788
_cell_length_c 19.677
_cell_angle_alpha 90.00
_cell_angle_beta 90.00
_cell_angle_gamma 90.00
loop_
_atom_site_label
_atom_site_type_symbol
_atom_site_fract_x
_atom_site_fract_y
_atom_site_fract_z
K1 K 0.000 0.000 0.000
Cd1 Cd 0.003 0.250 0.625
Sn1 Sn 0.000 0.000 0.500
```

Computed properties:
E ... -1.70 eV per atom
N(E_F) ... 0.217 states/eV/atom
Crystal system ... tetragonal
Energy relative to the elements ... 35 meV/atom

=====

This record from the Alexandria database describes K2Cd3Sn after structural relaxation. The functional is PBE.

Geometry as CIF:
```
data_K2Cd3Sn
_symmetry_space_group_name_H-M 'C 1 2/m 1'
_symmetry_Int_Tables_number 12
_symmetry_space_group_name_Hall '-C 2y'
_cell_length_a 10.986
_cell_length_b 6.356
_cell_length_c 6.395
_cell_angle_alpha 90.00
_cell_angle_beta 124.72
_cell_angle_gamma 90.00
loop_
_atom_site_label
_atom_site_type_symbol
_atom_site_fract_x
_atom_site_fract_y
_atom_site_fract_z
K1 K 0.127 0.000 0.381
Cd1 Cd 0.000 0.500 0.000
Cd2 Cd 0.250 0.250 0.000
Sn1 Sn 0.000 0.500 0.500
```

Computed properties:
E ... -1.61 eV per atom
N(E_F) ... 0.447 states/eV/atom
Crystal system ... monoclinic
Energy relative to the elements ... -121 meV/atom